VASP calculation (GGA-PBE) on a relaxed Re2PtCl crystal.

The structure belongs to space group P4mm (No. 99); the cell edges are 2.847, 2.847 and 8.722 Å and the angles 90.00°, 90.00° and 90.00°. The asymmetric unit holds Re at (0.000, 0.000, 0.000), Re at (0.500, 0.500, 0.198), Pt at (0.500, 0.500, 0.780) and Cl at (0.000, 0.000, 0.398).

Its electronic total energy is -0.584 Ry/atom. For the distance to the lowest polymorph of the same formula, the calculation gives 10 meV per atom. The uncorrected formation energy comes out at 244 meV/atom.

VASP calculation (GGA-PBE) on a relaxed Na2MnBeMo crystal.

The structure belongs to space group P4/mmm (No. 123); the cell edges are 5.252, 5.252 and 4.240 Å and the angles 90.00°, 90.00° and 90.00°. The asymmetric unit holds Na at (0.000, 0.500, 0.000), Mn at (0.000, 0.000, 0.000), Be at (0.500, 0.500, 0.500) and Mo at (0.000, 0.000, 0.500).

Its electronic total energy is -0.266 Ry/atom. As for the formation energy: 1.652 eV per atom.

VASP calculation (GGA-PBE) on a relaxed Tb2ErZrSc4 crystal.

The structure belongs to space group Pmmm (No. 47); the cell edges are 4.777, 4.794 and 9.267 Å and the angles 90.00°, 90.00° and 90.00°. The asymmetric unit holds Tb at (0.000, 0.000, 0.000), Tb at (0.500, 0.500, 0.500), Er at (0.000, 0.000, 0.500), Zr at (0.500, 0.500, 0.000), Sc at (0.000, 0.500, 0.239) and Sc at (0.500, 0.000, 0.239).

Its electronic total energy is -0.434 Ry/atom. As for the formation energy: 0.055 eV per atom.